## LiTaFeTc2 (PBEsol)

Data for LiTaFeTc2 after structural relaxation.

Lattice parameters (Å, degrees): 4.3669 4.3669 3.8719 90.00 90.00 90.00
Space group P4/mmm (No. 123)
Unique sites:
Li 0.0000 0.0000 0.0000
Ta 0.5000 0.5000 0.0000
Fe 0.0000 0.0000 0.5000
Tc 0.0000 0.5000 0.5000

V in Å³ per atom: 14.77
ΔE_f in eV per formula unit: 4.66
DFT total energy in eV per cell: -41.36



## Al2ZnCr (PBEsol)

Data for Al2ZnCr after structural relaxation.

Lattice parameters (Å, degrees): 3.6044 3.6044 8.2008 90.00 90.00 90.00
Space group I-4m2 (No. 119)
Unique sites:
Al 0.0000 0.0000 0.0000
Al 0.0000 0.5000 0.2500
Zn 0.0000 0.0000 0.5000
Cr 0.0000 0.5000 0.7500

V in Å³ per atom: 13.32
ΔE_f in eV per formula unit: -0.31
DFT total energy in eV per cell: -40.62



## CaTiPO5 (PBEsol)

Data for CaTiPO5 after structural relaxation.

Lattice parameters (Å, degrees): 6.5931 8.7923 6.9503 90.00 112.68 90.00
Space group C2/c (No. 15)
Unique sites:
Ca 0.0000 0.1674 0.2500
Ti 0.0000 0.5000 0.0000
P 0.0000 0.1789 0.7500
O 0.0000 0.4199 0.2500
O 0.1108 0.2801 0.6343
O 0.1672 0.0728 0.9127

ΔE_f (raw) in meV per atom: -2787
V in Å³ per atom: 11.62
DFT total energy in eV per cell: -259.17



## YBiSN2 (PBEsol)

Data for YBiSN2 after structural relaxation.

Lattice parameters (Å, degrees): 4.2353 4.2353 5.1162 90.00 90.00 90.00
Space group P4/mmm (No. 123)
Unique sites:
Y 0.0000 0.0000 0.0000
Bi 0.5000 0.5000 0.5000
S 0.5000 0.5000 0.0000
N 0.0000 0.5000 0.5000

ΔE_f (raw) in meV per atom: 414
V in Å³ per atom: 18.35
DFT total energy in eV per cell: -30.47



## Tb (PBEsol)

Data for Tb after structural relaxation.

Lattice parameters (Å, degrees): 3.5351 3.5351 5.5765 90.00 90.00 120.00
Space group P6_3/mmc (No. 194)
Unique sites:
Tb 0.3333 0.6667 0.2500

V in Å³ per atom: 30.18
Excess energy over the best structure of this formula in the dataset in eV/atom: 0.018
ΔE_f in eV per formula unit: 0.02
DFT total energy in eV per cell: -9.98



## Mg2ScTc (PBEsol)

Data for Mg2ScTc after structural relaxation.

Lattice parameters (Å, degrees): 4.0075 4.0075 8.8805 90.00 90.00 90.00
Space group I4/mmm (No. 139)
Unique sites:
Mg 0.0000 0.5000 0.2500
Sc 0.0000 0.0000 0.0000
Tc 0.0000 0.0000 0.5000

V in Å³ per atom: 17.83
Excess energy over the best structure of this formula in the dataset in eV/atom: 0.000
ΔE_f in eV per formula unit: 0.28
DFT total energy in eV per cell: -42.05



## NbCNO2 (PBEsol)

Data for NbCNO2 after structural relaxation.

Lattice parameters (Å, degrees): 3.8817 3.8817 4.2185 90.00 90.00 90.00
Space group P4/mmm (No. 123)
Unique sites:
Nb 0.0000 0.0000 0.0000
C 0.5000 0.5000 0.5000
N 0.0000 0.0000 0.5000
O 0.0000 0.5000 0.0000

ΔE_f (raw) in meV per atom: 576
V in Å³ per atom: 12.71
DFT total energy in eV per cell: -36.61



## AgW2 (PBEsol)

Data for AgW2 after structural relaxation.

Lattice parameters (Å, degrees): 3.2767 3.2767 9.0903 90.00 90.00 90.00
Space group I4/mmm (No. 139)
Unique sites:
Ag 0.0000 0.0000 0.0000
W 0.0000 0.0000 0.3189

V in Å³ per atom: 16.27
ΔE_f in eV per formula unit: 1.98
DFT total energy in eV per cell: -57.89